1.
Compound: CaFe2Ru
Source: Alexandria
Functional: PBE
Structure: relaxed

Calculated values
- DFT total energy (eV per atom) = -6.619
- energy of formation from the pure elements (eV per atom) = 0.431
- space group = Cm

The structure in POSCAR format:
```
CaFe2Ru
1.0
9.074 0.000 0.000
0.000 2.956 0.000
-1.393 0.000 5.029
Ca Fe Ru
2 4 2
Cartesian
0.000 0.000 0.000 Ca
4.537 1.478 0.000 Ca
-0.656 1.478 2.507 Fe
1.023 0.000 3.395 Fe
3.880 0.000 2.507 Fe
5.560 1.478 3.395 Fe
2.031 1.478 1.755 Ru
6.567 0.000 1.755 Ru
```

***

2.
Compound: CaFe2Ru
Source: Alexandria
Functional: PBE
Structure: relaxed

Calculated values
- DFT total energy (eV per atom) = -6.357
- energy of formation from the pure elements (eV per atom) = 0.694
- space group = R-3m

The structure in POSCAR format:
```
CaFe2Ru
1.0
2.808 0.000 0.000
-1.404 2.432 0.000
0.000 0.000 27.435
Ca Fe Ru
3 6 3
Cartesian
0.000 0.000 0.000 Ca
0.000 1.621 18.290 Ca
1.404 0.811 9.145 Ca
0.000 0.000 6.613 Fe
0.000 0.000 20.822 Fe
0.000 1.621 11.677 Fe
0.000 1.621 24.903 Fe
1.404 0.811 2.532 Fe
1.404 0.811 15.758 Fe
0.000 0.000 13.717 Ru
0.000 1.621 4.572 Ru
1.404 0.811 22.862 Ru
```